# 1
## CoP3 (GGA-PBE)

Data for an optimized crystal structure of CoP3.

Unit cell a=7.558 b=7.558 c=3.619 alpha=90.00 beta=90.00 gamma=120.00
Fractional positions:
Co: 0.333 0.667 0.250
Co: 0.667 0.333 0.750
P: 0.232 0.464 0.750
P: 0.232 0.768 0.750
P: 0.464 0.232 0.250
P: 0.536 0.768 0.750
P: 0.768 0.232 0.250
P: 0.768 0.536 0.250

**Energy above the lowest structure with this stoichiometry**: 648 meV/atom
**Energy of formation from the pure elements**: 14.8 kJ per mole of atoms
**Calculated total energy**: -5.681 eV/atom
**ρ**: 2.8 g/cm3



# 2
## CoP5 (GGA-PBE)

Data for an optimized crystal structure of CoP5.

Unit cell a=4.951 b=4.951 c=4.951 alpha=60.00 beta=60.00 gamma=60.00
Fractional positions:
Co: 0.000 0.000 0.000
P: 0.375 0.375 0.375
P: 0.375 0.375 0.874
P: 0.375 0.874 0.375
P: 0.750 0.750 0.750
P: 0.874 0.375 0.375

**Energy above the lowest structure with this stoichiometry**: 942 meV/atom
**Energy of formation from the pure elements**: 89.6 kJ per mole of atoms
**Calculated total energy**: -4.763 eV/atom
**ρ**: 4.1 g/cm3



# 3
## Co4P (GGA-PBE)

Data for an optimized crystal structure of Co4P.

Unit cell a=3.114 b=3.114 c=12.468 alpha=90.00 beta=90.00 gamma=90.00
Fractional positions:
Co: 0.000 0.000 0.095
Co: 0.000 0.000 0.905
Co: 0.000 0.500 0.250
Co: 0.000 0.500 0.750
Co: 0.500 0.000 0.250
Co: 0.500 0.000 0.750
Co: 0.500 0.500 0.405
Co: 0.500 0.500 0.595
P: 0.000 0.000 0.500
P: 0.500 0.500 0.000

**Energy above the lowest structure with this stoichiometry**: 440 meV/atom
**Energy of formation from the pure elements**: 31.4 kJ per mole of atoms
**Calculated total energy**: -6.442 eV/atom
**ρ**: 7.3 g/cm3